A plane-wave DFT calculation with GGA-PBE was carried out for a geometry-optimized La3NdSm7 structure.

Cell lengths 7.8545, 7.8545, 6.5151 Å; angles 93.70, 93.70, 81.54 degrees
Last column: nearest neighbours and their distance in Å.
Sites, in units of the cell vectors:
1 La 0.0000 0.0000 0.0000  6 Sm 3.53-3.75, 4 La 3.73
2 La 0.1762 0.8238 0.5000  7 Sm 3.32-3.62, 1 La 3.61
3 La 0.8238 0.1762 0.5000  7 Sm 3.32-3.62, 1 La 3.61
4 Nd 0.5000 0.5000 0.0000  4 Sm 3.26-3.51
5 Sm 0.0848 0.4288 0.2387  6 Sm 3.38-3.78, 3 La 3.59-3.75
6 Sm 0.2378 0.2378 0.7104  5 Sm 3.38-3.57, 1 Nd 3.51, 3 La 3.53
7 Sm 0.4288 0.0848 0.2387  6 Sm 3.38-3.78, 3 La 3.59-3.75
8 Sm 0.5000 0.5000 0.5000  2 Nd 3.26, 2 La 3.32, 2 Sm 3.51
9 Sm 0.5712 0.9152 0.7613  6 Sm 3.38-3.78, 3 La 3.59-3.75
10 Sm 0.7622 0.7622 0.2896  5 Sm 3.38-3.57, 1 Nd 3.51, 3 La 3.53
11 Sm 0.9152 0.5712 0.7613  6 Sm 3.38-3.78, 3 La 3.59-3.75

Properties
raw total energy = -50.3 eV/cell
E_form = 0.20 eV/atom
space group = C2/m (12)
DOS(E_F) = 16.09 states/eV/f.u.
offset from the most stable computed form = 0 meV per atom

A plane-wave DFT calculation with GGA-PBE was carried out for a geometry-optimized LaNd2Sm2 structure.

Cell lengths 9.6525, 9.6525, 3.8626 Å; angles 90.00, 90.00, 90.00 degrees
Last column: nearest neighbours and their distance in Å.
Sites, in units of the cell vectors:
1 La 0.0000 0.0000 0.0000  4 Nd 3.80, 2 La 3.86, 8 Sm 4.07
2 La 0.5000 0.5000 0.0000  4 Nd 3.80, 2 La 3.86, 8 Sm 4.07
3 Nd 0.1277 0.3723 0.0000  6 Sm 3.37-3.49, 1 Nd 3.49
4 Nd 0.3723 0.8723 0.0000  6 Sm 3.37-3.49, 1 Nd 3.49
5 Nd 0.6277 0.1277 0.0000  6 Sm 3.37-3.49, 1 Nd 3.49
6 Nd 0.8723 0.6277 0.0000  6 Sm 3.37-3.49, 1 Nd 3.49
7 Sm 0.1699 0.6699 0.5000  6 Nd 3.37-3.49
8 Sm 0.3301 0.1699 0.5000  6 Nd 3.37-3.49
9 Sm 0.6699 0.8301 0.5000  6 Nd 3.37-3.49
10 Sm 0.8301 0.3301 0.5000  6 Nd 3.37-3.49

Properties
raw total energy = -46.9 eV/cell
E_form = 0.09 eV/atom
space group = P4/mbm (127)
DOS(E_F) = 6.41 states/eV/f.u.
offset from the most stable computed form = 0 meV per atom

A plane-wave DFT calculation with GGA-PBE was carried out for a geometry-optimized LaNd6Sm8 structure.

Cell lengths 9.6617, 9.6617, 6.6504 Å; angles 90.00, 90.00, 120.00 degrees
Last column: nearest neighbours and their distance in Å.
Sites, in units of the cell vectors:
1 La 0.0000 0.0000 0.0000  6 Nd 3.68, 6 Sm 3.99
2 Nd 0.0832 0.6755 0.1076  1 Nd 3.27, 3 Sm 3.29-3.47
3 Nd 0.3245 0.4077 0.1076  1 Nd 3.27, 3 Sm 3.29-3.47
4 Nd 0.4077 0.0832 0.8924  1 Nd 3.27, 3 Sm 3.29-3.47
5 Nd 0.5923 0.9168 0.1076  1 Nd 3.27, 3 Sm 3.29-3.47
6 Nd 0.6755 0.5923 0.8924  1 Nd 3.27, 3 Sm 3.29-3.47
7 Nd 0.9168 0.3245 0.8924  1 Nd 3.27, 3 Sm 3.29-3.47
8 Sm 0.0109 0.3193 0.3898  4 Nd 3.29-3.67, 4 Sm 3.37-3.67
9 Sm 0.3084 0.9891 0.3898  4 Nd 3.29-3.67, 4 Sm 3.37-3.67
10 Sm 0.3193 0.3084 0.6102  4 Nd 3.29-3.67, 4 Sm 3.37-3.67
11 Sm 0.3333 0.6667 0.6475  6 Sm 3.40-3.67
12 Sm 0.6667 0.3333 0.3525  6 Sm 3.40-3.67
13 Sm 0.6807 0.6916 0.3898  4 Nd 3.29-3.67, 4 Sm 3.37-3.67
14 Sm 0.6916 0.0109 0.6102  4 Nd 3.29-3.67, 4 Sm 3.37-3.67
15 Sm 0.9891 0.6807 0.6102  4 Nd 3.29-3.67, 4 Sm 3.37-3.67

Properties
raw total energy = -68.3 eV/cell
E_form = 0.20 eV/atom
space group = P-3 (147)
DOS(E_F) = 22.68 states/eV/f.u.
offset from the most stable computed form = 50 meV per atom

A plane-wave DFT calculation with GGA-PBE was carried out for a geometry-optimized La2Nd4Sm5 structure.

Cell lengths 12.8576, 12.8576, 12.8576 Å; angles 164.04, 137.11, 46.05 degrees
Last column: nearest neighbours and their distance in Å.
Sites, in units of the cell vectors:
1 La 0.2317 0.2317 0.0000  1 Nd 3.18, 2 Sm 3.48
2 La 0.7683 0.7683 0.0000  1 Nd 3.18, 2 Sm 3.48
3 Nd 0.0973 0.0973 0.0000  1 La 3.18, 4 Nd 3.46, 4 Sm 3.56
4 Nd 0.1986 0.5000 0.6986  4 Sm 3.35-3.53, 7 Nd 3.46-3.73
5 Nd 0.8014 0.5000 0.3014  4 Sm 3.35-3.53, 7 Nd 3.46-3.73
6 Nd 0.9027 0.9027 0.0000  1 La 3.18, 4 Nd 3.46, 4 Sm 3.56
7 Sm 0.1650 0.3574 0.8075  1 La 3.48, 3 Nd 3.53-3.56, 3 Sm 3.57-3.62
8 Sm 0.4501 0.6426 0.8075  1 La 3.48, 3 Nd 3.53-3.56, 3 Sm 3.57-3.62
9 Sm 0.5000 0.0000 0.5000  4 Nd 3.35, 2 Sm 3.57
10 Sm 0.5499 0.3574 0.1925  1 La 3.48, 3 Nd 3.53-3.56, 3 Sm 3.57-3.62
11 Sm 0.8350 0.6426 0.1925  1 La 3.48, 3 Nd 3.53-3.56, 3 Sm 3.57-3.62

Properties
raw total energy = -50.3 eV/cell
E_form = 0.20 eV/atom
space group = Immm (71)
DOS(E_F) = 15.95 states/eV/f.u.
offset from the most stable computed form = 110 meV per atom

A plane-wave DFT calculation with GGA-PBE was carried out for a geometry-optimized La3Nd7Sm structure.

Cell lengths 8.7008, 8.7008, 8.7008 Å; angles 139.39, 97.29, 96.54 degrees
Last column: nearest neighbours and their distance in Å.
Sites, in units of the cell vectors:
1 La 0.0000 0.0000 0.0000  4 Nd 3.29
2 La 0.2115 0.5000 0.7115  5 Nd 3.32-3.60
3 La 0.7885 0.5000 0.2885  5 Nd 3.32-3.60
4 Nd 0.0012 0.7991 0.2021  2 La 3.29-3.60, 3 Nd 3.41-3.58
5 Nd 0.2081 0.7081 0.5000  1 Sm 3.38, 2 La 3.42, 2 Nd 3.58
6 Nd 0.4031 0.2009 0.2021  2 La 3.29-3.60, 3 Nd 3.41-3.58
7 Nd 0.5000 0.5000 0.0000  2 Sm 3.02, 2 La 3.32
8 Nd 0.5969 0.7991 0.7979  2 La 3.29-3.60, 3 Nd 3.41-3.58
9 Nd 0.7919 0.2919 0.5000  1 Sm 3.38, 2 La 3.42, 2 Nd 3.58
10 Nd 0.9988 0.2009 0.7979  2 La 3.29-3.60, 3 Nd 3.41-3.58
11 Sm 0.5000 0.0000 0.5000  4 Nd 3.02-3.38

Properties
raw total energy = -50.5 eV/cell
E_form = 0.22 eV/atom
space group = Immm (71)
DOS(E_F) = 17.24 states/eV/f.u.
offset from the most stable computed form = 13 meV per atom

A plane-wave DFT calculation with GGA-PBE was carried out for a geometry-optimized LaNd6Sm5 structure.

Cell lengths 9.6974, 9.6974, 5.1872 Å; angles 105.46, 105.46, 64.72 degrees
Last column: nearest neighbours and their distance in Å.
Sites, in units of the cell vectors:
1 La 0.0000 0.0000 0.0000  4 Sm 3.68, 8 Nd 3.68
2 Nd 0.0844 0.5820 0.8331  7 Sm 3.65-3.68, 4 Nd 3.66-3.67, 1 La 3.68
3 Nd 0.2521 0.7479 0.5000  6 Sm 3.65-3.69, 4 Nd 3.67, 2 La 3.68
4 Nd 0.4180 0.9156 0.1669  7 Sm 3.65-3.68, 4 Nd 3.66-3.67, 1 La 3.68
5 Nd 0.5820 0.0844 0.8331  7 Sm 3.65-3.68, 4 Nd 3.66-3.67, 1 La 3.68
6 Nd 0.7479 0.2521 0.5000  6 Sm 3.65-3.69, 4 Nd 3.67, 2 La 3.68
7 Nd 0.9156 0.4180 0.1669  7 Sm 3.65-3.68, 4 Nd 3.66-3.67, 1 La 3.68
8 Sm 0.1676 0.1676 0.6675  8 Nd 3.65-3.69, 2 Sm 3.65, 2 La 3.68
9 Sm 0.3327 0.3327 0.3326  4 Sm 3.65-3.68, 8 Nd 3.66-3.67
10 Sm 0.5000 0.5000 0.0000  8 Nd 3.65-3.66, 4 Sm 3.67-3.68
11 Sm 0.6673 0.6673 0.6674  4 Sm 3.65-3.68, 8 Nd 3.66-3.67
12 Sm 0.8324 0.8324 0.3325  8 Nd 3.65-3.69, 2 Sm 3.65, 2 La 3.68

Properties
raw total energy = -57.0 eV/cell
E_form = 0.01 eV/atom
space group = C2/m (12)
DOS(E_F) = 19.21 states/eV/f.u.

A plane-wave DFT calculation with GGA-PBE was carried out for a geometry-optimized LaNd5Sm structure.

Cell lengths 9.6243, 3.7275, 14.3926 Å; angles 90.00, 104.70, 90.00 degrees
Last column: nearest neighbours and their distance in Å.
Sites, in units of the cell vectors:
1 La 0.0989 0.2500 0.1166  5 Nd 3.44-3.80, 2 Sm 3.57, 2 La 3.73
2 La 0.9011 0.7500 0.8834  5 Nd 3.44-3.80, 2 Sm 3.57, 2 La 3.73
3 Nd 0.0039 0.7500 0.3797  1 Sm 3.64, 10 Nd 3.71-3.95
4 Nd 0.1998 0.2500 0.8778  3 La 3.44-3.80, 8 Nd 3.50-3.73
5 Nd 0.3301 0.2500 0.5080  3 Sm 3.51-3.65, 8 Nd 3.56-3.82
6 Nd 0.3506 0.7500 0.7220  10 Nd 3.50-3.84, 2 Sm 3.64
7 Nd 0.4102 0.7500 0.0767  1 Sm 3.50, 9 Nd 3.58-3.73, 2 La 3.69
8 Nd 0.5898 0.2500 0.9233  1 Sm 3.50, 9 Nd 3.58-3.73, 2 La 3.69
9 Nd 0.6494 0.2500 0.2780  10 Nd 3.50-3.84, 2 Sm 3.64
10 Nd 0.6699 0.7500 0.4920  3 Sm 3.51-3.65, 8 Nd 3.56-3.82
11 Nd 0.8002 0.7500 0.1222  3 La 3.44-3.80, 8 Nd 3.50-3.73
12 Nd 0.9961 0.2500 0.6203  1 Sm 3.64, 10 Nd 3.71-3.95
13 Sm 0.3363 0.7500 0.3025  7 Nd 3.50-3.65, 2 La 3.57, 2 Sm 3.73
14 Sm 0.6637 0.2500 0.6975  7 Nd 3.50-3.65, 2 La 3.57, 2 Sm 3.73

Properties
raw total energy = -66.1 eV/cell
E_form = 0.06 eV/atom
space group = P2_1/m (11)
DOS(E_F) = 10.56 states/eV/f.u.
offset from the most stable computed form = 0 meV per atom

A plane-wave DFT calculation with GGA-PBE was carried out for a geometry-optimized La3Nd5Sm2 structure.

Cell lengths 9.3218, 9.3218, 10.1952 Å; angles 109.09, 109.09, 106.14 degrees
Last column: nearest neighbours and their distance in Å.
Sites, in units of the cell vectors:
1 La 0.0264 0.2777 0.0580  1 Sm 3.33, 5 Nd 3.37-3.64, 1 La 3.55
2 La 0.2261 0.7739 0.7500  1 Nd 3.14, 2 Sm 3.42
3 La 0.2777 0.0264 0.5580  1 Sm 3.33, 5 Nd 3.37-3.64, 1 La 3.55
4 La 0.7223 0.9736 0.4420  1 Sm 3.33, 5 Nd 3.37-3.64, 1 La 3.55
5 La 0.7739 0.2261 0.2500  1 Nd 3.14, 2 Sm 3.42
6 La 0.9736 0.7223 0.9420  1 Sm 3.33, 5 Nd 3.37-3.64, 1 La 3.55
7 Nd 0.0151 0.9849 0.7500  3 La 3.14-3.37, 2 Nd 3.50
8 Nd 0.1380 0.3835 0.7656  3 Nd 3.50-3.57, 2 La 3.57-3.78, 2 Sm 3.74-3.84
9 Nd 0.2680 0.7320 0.2500  1 Nd 3.10, 2 La 3.38
10 Nd 0.3835 0.1380 0.2656  3 Nd 3.50-3.57, 2 La 3.57-3.78, 2 Sm 3.74-3.84
11 Nd 0.4757 0.5243 0.2500  1 Nd 3.10, 2 Sm 3.40
12 Nd 0.5243 0.4757 0.7500  1 Nd 3.10, 2 Sm 3.40
13 Nd 0.6165 0.8620 0.7344  3 Nd 3.50-3.57, 2 La 3.57-3.78, 2 Sm 3.74-3.84
14 Nd 0.7320 0.2680 0.7500  1 Nd 3.10, 2 La 3.38
15 Nd 0.8620 0.6165 0.2344  3 Nd 3.50-3.57, 2 La 3.57-3.78, 2 Sm 3.74-3.84
16 Nd 0.9849 0.0151 0.2500  3 La 3.14-3.37, 2 Nd 3.50
17 Sm 0.2218 0.4691 0.4477  3 La 3.33-3.59, 4 Nd 3.40-3.67
18 Sm 0.4691 0.2218 0.9477  3 La 3.33-3.59, 4 Nd 3.40-3.67
19 Sm 0.5309 0.7782 0.0523  3 La 3.33-3.59, 4 Nd 3.40-3.67
20 Sm 0.7782 0.5309 0.5523  3 La 3.33-3.59, 4 Nd 3.40-3.67

Properties
raw total energy = -92.9 eV/cell
E_form = 0.16 eV/atom
space group = C2/c (15)
DOS(E_F) = 17.37 states/eV/f.u.
offset from the most stable computed form = 0 meV per atom

A plane-wave DFT calculation with GGA-PBE was carried out for a geometry-optimized LaNd2Sm8 structure.

Cell lengths 9.5295, 9.5295, 9.5295 Å; angles 145.35, 128.01, 64.00 degrees
Last column: nearest neighbours and their distance in Å.
Sites, in units of the cell vectors:
1 La 0.0000 0.0000 0.0000  4 Sm 3.33
2 Nd 0.3000 0.3000 0.0000  10 Sm 3.46-3.66
3 Nd 0.7000 0.7000 0.0000  10 Sm 3.46-3.66
4 Sm 0.1563 0.8613 0.2950  1 La 3.33, 4 Sm 3.42-3.67, 3 Nd 3.46-3.59
5 Sm 0.1606 0.6606 0.5000  8 Sm 3.58-3.78, 2 Nd 3.62, 2 La 3.85
6 Sm 0.2946 0.5000 0.7946  7 Sm 3.43-3.62, 2 Nd 3.66, 2 La 3.76
7 Sm 0.4337 0.1387 0.2950  1 La 3.33, 4 Sm 3.42-3.67, 3 Nd 3.46-3.59
8 Sm 0.5663 0.8613 0.7050  1 La 3.33, 4 Sm 3.42-3.67, 3 Nd 3.46-3.59
9 Sm 0.7054 0.5000 0.2054  7 Sm 3.43-3.62, 2 Nd 3.66, 2 La 3.76
10 Sm 0.8394 0.3394 0.5000  8 Sm 3.58-3.78, 2 Nd 3.62, 2 La 3.85
11 Sm 0.8437 0.1387 0.7050  1 La 3.33, 4 Sm 3.42-3.67, 3 Nd 3.46-3.59

Properties
raw total energy = -51.0 eV/cell
E_form = 0.11 eV/atom
space group = Immm (71)
DOS(E_F) = 16.15 states/eV/f.u.
offset from the most stable computed form = 0 meV per atom

A plane-wave DFT calculation with GGA-PBE was carried out for a geometry-optimized LaNd7Sm4 structure.

Cell lengths 6.8513, 6.8513, 12.9677 Å; angles 114.70, 114.70, 53.13 degrees
Last column: nearest neighbours and their distance in Å.
Sites, in units of the cell vectors:
1 La 0.0000 0.0000 0.0000  4 Nd 3.06-3.18
2 Nd 0.0593 0.0593 0.3304  4 Nd 3.38-3.65, 3 Sm 3.71-3.73
3 Nd 0.2094 0.2094 0.9203  1 La 3.18, 2 Nd 3.21-3.38, 4 Sm 3.35-3.49
4 Nd 0.3695 0.3695 0.4980  2 Nd 3.18-3.38, 3 Sm 3.34-3.55
5 Nd 0.5000 0.5000 0.0000  2 La 3.06, 2 Nd 3.21
6 Nd 0.6305 0.6305 0.5020  2 Nd 3.18-3.38, 3 Sm 3.34-3.55
7 Nd 0.7906 0.7906 0.0797  1 La 3.18, 2 Nd 3.21-3.38, 4 Sm 3.35-3.49
8 Nd 0.9407 0.9407 0.6696  4 Nd 3.38-3.65, 3 Sm 3.71-3.73
9 Sm 0.2495 0.2495 0.6821  5 Nd 3.34-3.71
10 Sm 0.3651 0.3651 0.2243  7 Nd 3.48-3.73, 2 Sm 3.80
11 Sm 0.6349 0.6349 0.7757  7 Nd 3.48-3.73, 2 Sm 3.80
12 Sm 0.7505 0.7505 0.3179  5 Nd 3.34-3.71

Properties
raw total energy = -54.5 eV/cell
E_form = 0.22 eV/atom
space group = C2/m (12)
DOS(E_F) = 18.56 states/eV/f.u.
offset from the most stable computed form = 216 meV per atom